Dy3In4Rh4 (GGA-PBE, relaxed); space-group type = Immm, No. 71; formation enthalpy at 0 K = -0.613 eV per atom; electronic total energy = -60.91 eV/cell; calculated density = 9.66 Mg/m³; crystal system = orthorhombic
1.0
3.7344 0.0000 0.0000
0.0000 8.0732 0.0000
-1.8672 -4.0366 7.7492
Rh In Dy
4 4 3
direct
0.2464 0.7464 0.4927 Rh
0.5000 0.2042 0.0000 Rh
0.5000 0.7958 0.0000 Rh
0.7536 0.2536 0.5073 Rh
0.6674 0.4750 0.3348 In
0.3326 0.5250 0.6652 In
0.3326 0.1401 0.6652 In
0.6674 0.8599 0.3348 In
0.1086 0.1086 0.2172 Dy
0.0000 0.5000 0.0000 Dy
0.8914 0.8914 0.7828 Dy